The following is a PBE calculation of a geometry-optimized MoW2Au structure, from Alexandria.

```
4
Lattice="-3.534 -1.025 -1.580 1.857 -2.449 -2.566 -0.312 -3.019 2.656" Properties=species:S:1:pos:R:3 pbc="T T T"
Mo 0.772 -2.734 0.045
W 0.000 0.000 0.000
W -0.839 -1.737 -2.073
Au -1.923 -2.022 0.538
```

Summary:
Calculated formation energy, meV/atom: 251
VASP energy, eV per atom: -9.75
Polymorph energy (0 for the lowest one), meV per atom: 56
Space group: No. 123
N(E_F), states/eV/f.u.: 2.1